SiPtI2N: relaxed, PBE.

a = 5.691 Å, b = 5.691 Å, c = 3.249 Å
α = 90.00°, β = 90.00°, γ = 90.00°
Space group P4/mmm (No. 123)
Unique sites:
Si  0.000  0.000  0.000 [1 per cell]
Pt  0.500  0.500  0.500 [1 per cell]
I  0.000  0.500  0.000 [2 per cell]
N  0.000  0.000  0.500 [1 per cell]

## Properties
E_form (uncorrected)   283 kJ/mol of formula units
ΔE to the lowest computed polymorph   0 meV per atom
DOS(E_F)   3.068 states/eV/cell
E_tot   -3.990 eV per atom